# 1
First-principles (GGA-PBEsol) data for TcSb2Te after structural relaxation, as listed in the Alexandria database.

Values from the calculation:
The total magnetization comes out at 0.000 μB/atom. The calculation puts the energy above the most stable polymorph in this dataset at 133 meV per atom. Its space group is No. 216. The uncorrected formation energy is 0.530 eV/atom. The value obtained for the total energy is -21.8 eV per cell.

a b c (Å): 4.937 4.937 4.937
angles (deg): 60.00 60.00 60.00
Fractional positions:
Sb 0.000 0.000 0.000
Sb 0.250 0.250 0.250
Tc 0.500 0.500 0.500
Te 0.750 0.750 0.750

***

# 2
First-principles (GGA-PBEsol) data for FeBr5 after structural relaxation, as listed in the Alexandria database.

Values from the calculation:
The total magnetization comes out at 0.682 μB/atom. Its space group is No. 65. The uncorrected formation energy is 0.025 eV/atom. The value obtained for the total energy is -18.2 eV per cell.

a b c (Å): 3.536 6.896 7.189
angles (deg): 90.00 90.00 104.86
Each line ends with the local moment (μB).
Fractional positions:
Br 0.971 0.943 0.000  0.01
Br 0.306 0.613 0.000  0.01
Br 0.639 0.278 0.000  0.01
Br 0.510 0.021 0.500  0.16
Br 0.767 0.534 0.500  0.16
Fe 0.139 0.278 0.500  3.49